[1]
DFT (PBE) results for a geometry-optimized Co4MoPb structure.

Cell lengths 6.794, 6.794, 6.794 Å; angles 90.00, 90.00, 90.00 degrees
Space group F-43m (No. 216)
Inequivalent atoms, fractional coordinates:
Co (0.124, 0.124, 0.124) x16
Mo (0.250, 0.250, 0.750) x4
Pb (0.000, 0.000, 0.500) x4

Calculated values
Mass density, g cm⁻³: 11.4
Formation energy from the elements, eV/atom: 0.358



[2]
DFT (PBE) results for a geometry-optimized Pm4Zn5Pd6 structure.

Cell lengths 4.232, 20.414, 14.078 Å; angles 90.00, 90.00, 90.00 degrees
Space group Cmc2_1 (No. 36)
Inequivalent atoms, fractional coordinates:
Pm (0.000, 0.048, 0.000) x4
Pm (0.000, 0.071, 0.266) x4
Pm (0.000, 0.121, 0.765) x4
Pm (0.000, 0.195, 0.455) x4
Zn (0.000, 0.202, 0.110) x4
Zn (0.000, 0.308, 0.780) x4
Zn (0.000, 0.342, 0.108) x4
Zn (0.000, 0.354, 0.430) x4
Zn (0.000, 0.483, 0.151) x4
Pd (0.000, 0.079, 0.576) x4
Pd (0.000, 0.214, 0.923) x4
Pd (0.000, 0.269, 0.268) x4
Pd (0.000, 0.382, 0.620) x4
Pd (0.000, 0.406, 0.934) x4
Pd (0.000, 0.470, 0.343) x4

Calculated values
Mass density, g cm⁻³: 8.4
Formation energy from the elements, eV/atom: -0.609



[3]
DFT (PBE) results for a geometry-optimized Ac3Mg2Ag3 structure.

Cell lengths 3.851, 5.618, 21.751 Å; angles 90.00, 90.00, 90.00 degrees
Space group Immm (No. 71)
Inequivalent atoms, fractional coordinates:
Ac (0.000, 0.000, 0.000) x2
Ac (0.000, 0.500, 0.128) x4
Mg (0.000, 0.000, 0.233) x4
Ag (0.000, 0.000, 0.500) x2
Ag (0.000, 0.500, 0.366) x4

Calculated values
Mass density, g cm⁻³: 7.4
Formation energy from the elements, eV/atom: -0.168



[4]
DFT (PBE) results for a geometry-optimized Na5Ca structure.

Cell lengths 6.156, 18.319, 4.018 Å; angles 90.00, 90.00, 90.00 degrees
Space group Cmmm (No. 65)
Inequivalent atoms, fractional coordinates:
Na (0.000, 0.000, 0.000) x2
Na (0.000, 0.157, 0.500) x4
Na (0.000, 0.324, 0.000) x4
Ca (0.000, 0.500, 0.500) x2

Calculated values
Mass density, g cm⁻³: 1.1
Formation energy from the elements, eV/atom: 0.044



[5]
DFT (PBE) results for a geometry-optimized CePmTe structure.

Cell lengths 4.150, 4.864, 4.979 Å; angles 90.00, 90.00, 90.00 degrees
Space group Pmmm (No. 47)
Inequivalent atoms, fractional coordinates:
Ce (0.000, 0.000, 0.000) x1
Pm (0.000, 0.500, 0.500) x1
Te (0.500, 0.500, 0.000) x1

Calculated values
Mass density, g cm⁻³: 6.8
Formation energy without anion corrections, eV per atom: -0.593



[6]
DFT (PBE) results for a geometry-optimized HfTl2PO6 structure.

Cell lengths 6.0323, 6.0323, 5.2444 Å; angles 90.00, 90.00, 120.00 degrees
Space group P-3m1 (No. 164)
Inequivalent atoms, fractional coordinates:
Hf (0.0000, 0.0000, 0.0000) x1
Tl (0.3333, 0.6667, 0.5974) x2
P (0.0000, 0.0000, 0.5000) x1
O (0.1337, 0.2674, 0.2990) x6

Calculated values
Mass density, g cm⁻³: 7.2
Formation energy without anion corrections, eV per atom: -1.699



[7]
DFT (PBE) results for a geometry-optimized PrHo4Cd structure.

Cell lengths 10.537, 6.068, 11.745 Å; angles 90.00, 106.76, 90.00 degrees
Space group C2/c (No. 15)
Inequivalent atoms, fractional coordinates:
Pr (0.250, 0.250, 0.000) x4
Ho (0.081, 0.246, 0.505) x8
Ho (0.163, 0.409, 0.251) x8
Cd (0.000, 0.078, 0.750) x4

Calculated values
Mass density, g cm⁻³: 8.4
Formation energy from the elements, eV/atom: -0.018



[8]
DFT (PBE) results for a geometry-optimized Co2Sb3S3 structure.

Cell lengths 12.1314, 12.1314, 14.9546 Å; angles 90.00, 90.00, 120.00 degrees
Space group R-3 (No. 148, hexagonal axes)
Inequivalent atoms, fractional coordinates:
Co (0.0000, 0.0000, 0.2361) x6
Co (0.0015, 0.5051, 0.2377) x18
Sb (0.0119, 0.8405, 0.3393) x18
Sb (0.0621, 0.2702, 0.9400) x18
S (0.0095, 0.8377, 0.8384) x18
S (0.0589, 0.2717, 0.4398) x18

Calculated values
Mass density, g cm⁻³: 6.1
Formation energy without anion corrections, eV per atom: -0.175



[9]
DFT (PBE) results for a geometry-optimized Lu2Te3 structure.

Cell lengths 5.717, 8.140, 7.473 Å; angles 90.00, 112.55, 90.00 degrees
Space group P2_1/m (No. 11)
Inequivalent atoms, fractional coordinates:
Lu (0.008, 0.250, 0.024) x2
Lu (0.309, 0.250, 0.636) x2
Te (0.162, 0.526, 0.324) x4
Te (0.472, 0.750, 0.937) x2

Calculated values
Mass density, g cm⁻³: 7.6
Formation energy without anion corrections, eV per atom: -1.122



[10]
DFT (PBE) results for a geometry-optimized KPa2MnS6 structure.

Cell lengths 12.142, 15.027, 7.906 Å; angles 90.00, 114.01, 90.00 degrees
Space group C2/c (No. 15)
Inequivalent atoms, fractional coordinates:
K (0.000, 0.100, 0.250) x4
Pa (0.132, 0.409, 0.153) x8
Mn (0.000, 0.177, 0.750) x4
S (0.094, 0.252, 0.034) x8
S (0.115, 0.435, 0.477) x8
S (0.139, 0.082, 0.701) x8

Calculated values
Mass density, g cm⁻³: 3.8
Formation energy without anion corrections, eV per atom: -1.173



[11]
DFT (PBE) results for a geometry-optimized ScSiAs2Se structure.

Cell lengths 4.749, 4.749, 4.854 Å; angles 90.00, 90.00, 90.00 degrees
Space group P4/mmm (No. 123)
Inequivalent atoms, fractional coordinates:
Sc (0.000, 0.000, 0.000) x1
Si (0.500, 0.500, 0.500) x1
As (0.000, 0.500, 0.500) x2
Se (0.500, 0.500, 0.000) x1

Calculated values
Mass density, g cm⁻³: 4.6
Formation energy without anion corrections, eV per atom: 0.096



[12]
DFT (PBE) results for a geometry-optimized Sb2O3F structure.

Cell lengths 15.135, 3.497, 7.870 Å; angles 90.00, 112.77, 90.00 degrees
Space group C2/m (No. 12)
Inequivalent atoms, fractional coordinates:
Sb (0.072, 0.000, 0.351) x4
Sb (0.151, 0.500, 0.003) x4
O (0.018, 0.500, 0.792) x4
O (0.121, 0.000, 0.144) x4
O (0.188, 0.000, 0.883) x4
F (0.170, 0.500, 0.440) x4

Calculated values
Mass density, g cm⁻³: 5.4
Formation energy without anion corrections, eV per atom: -1.410



> What is the formula in the twelfth record?

Sb2O3F



> mass density of number 9 (Lu2Te3)?

7.6 g cm⁻³



> Look up the mass density of the sixth one.

7.2 g cm⁻³